This record from Alexandria describes an optimized crystal structure of PmHg3Pt8. The functional is PBE-GGA.

POSCAR file:
```
PmHg3Pt8
1.0
2.707 1.563 8.841
-2.707 1.563 8.841
0.000 -3.126 8.841
Pm Hg Pt
1 3 8
direct
0.000 0.000 0.000
0.126 0.126 0.126
0.497 0.497 0.497
0.619 0.619 0.619
0.061 0.562 0.562
0.062 0.062 0.560
0.062 0.560 0.062
0.312 0.312 0.312
0.560 0.062 0.062
0.562 0.061 0.562
0.562 0.562 0.061
0.812 0.812 0.812
```

Values from the calculation:
ΔE_f = -309 meV per atom
Crystal system = trigonal
Density of states at the Fermi level = 1.000 states/eV per atom

This record from Alexandria describes an optimized crystal structure of Pu2SeS. The functional is PBE-GGA.

POSCAR file:
```
Pu2SeS
1.0
3.971 0.000 0.000
-1.986 3.439 0.000
0.000 0.000 21.424
Pu Se S
6 3 3
direct
0.000 0.000 0.000
0.000 0.000 0.163
0.333 0.667 0.667
0.333 0.667 0.829
0.667 0.333 0.333
0.667 0.333 0.496
0.000 0.000 0.583
0.333 0.667 0.250
0.667 0.333 0.916
0.000 0.000 0.412
0.333 0.667 0.079
0.667 0.333 0.746
```

Values from the calculation:
Excess energy over the best structure of this formula in the dataset = 127 meV per atom
Crystal system = trigonal
Formation energy (no corrections) = -1.511 eV per atom
Density of states at the Fermi level = 3.789 states/eV per atom